Entry 1:
# CoTc2PdO | the Alexandria database | GGA+U | relaxed
data_CoTc2PdO
_chemical_formula_sum 'Co1 Tc2 Pd1 O1'
_symmetry_space_group_name_H-M 'P 4/m m m'
_symmetry_Int_Tables_number 123
_symmetry_space_group_name_Hall '-P 4 2'
_cell_length_a 4.772
_cell_length_b 4.772
_cell_length_c 3.320
_cell_angle_alpha 90.00
_cell_angle_beta 90.00
_cell_angle_gamma 90.00
loop_
_atom_site_label
_atom_site_fract_x
_atom_site_fract_y
_atom_site_fract_z
_atom_site_occupancy
Co1 0.000 0.000 0.000 1
Tc1 0.000 0.500 0.000 1
Pd1 0.500 0.500 0.500 1
O1 0.000 0.000 0.500 1
# energy	-0.4569	Ry/atom
# M_tot	6.5	μB per cell
# D(E_F)	5.67	states/eV/f.u.
# calculated volume	75.6	Å³/cell



Entry 2:
# CoTePd2O6 | the Alexandria database | GGA+U | relaxed
data_CoTePd2O6
_chemical_formula_sum 'Co4 Te4 Pd8 O24'
_symmetry_space_group_name_H-M 'C 1 2/c 1'
_symmetry_Int_Tables_number 15
_cell_length_a 10.578
_cell_length_b 9.489
_cell_length_c 5.106
_cell_angle_alpha 90.00
_cell_angle_beta 96.87
_cell_angle_gamma 90.00
loop_
_symmetry_equiv_pos_as_xyz
'x,y,z'
'-x,-y,-z'
'-x,y,-z+1/2'
'x,-y,z+1/2'
'x+1/2,y+1/2,z'
'-x+1/2,-y+1/2,-z'
'-x+1/2,y+1/2,-z+1/2'
'x+1/2,-y+1/2,z+1/2'
loop_
_atom_site_label
_atom_site_fract_x
_atom_site_fract_y
_atom_site_fract_z
_atom_site_occupancy
Co1 0.000 0.071 0.250 1
Te1 0.000 0.273 0.750 1
Pd1 0.237 0.343 0.249 1
O1 0.102 0.101 0.926 1
O2 0.106 0.406 0.952 1
O3 0.117 0.224 0.468 1
# energy	-0.4014	Ry/atom
# M_tot	11.9	μB per cell
# calculated volume	508.8	Å³/cell



Entry 3:
# TiCoPdO2 | the Alexandria database | GGA+U | relaxed
data_TiCoPdO2
_chemical_formula_sum 'Ti1 Co1 Pd1 O2'
_symmetry_space_group_name_H-M 'P 4/m m m'
_symmetry_Int_Tables_number 123
_symmetry_space_group_name_Hall '-P 4 2'
_cell_length_a 3.638
_cell_length_b 3.638
_cell_length_c 5.025
_cell_angle_alpha 90.00
_cell_angle_beta 90.00
_cell_angle_gamma 90.00
loop_
_atom_site_label
_atom_site_fract_x
_atom_site_fract_y
_atom_site_fract_z
_atom_site_occupancy
Ti1 0.000 0.000 0.000 1
Co1 0.000 0.000 0.500 1
Pd1 0.500 0.500 0.000 1
O1 0.000 0.500 0.500 1
# energy	-0.4131	Ry/atom
# M_tot	1.8	μB per cell
# D(E_F)	3.11	states/eV/f.u.
# calculated volume	66.5	Å³/cell



Entry 4:
# UCo2PdO8 | the Alexandria database | GGA+U | relaxed
data_UCo2PdO8
_chemical_formula_sum 'U2 Co4 Pd2 O16'
_symmetry_space_group_name_H-M 'I -4 m 2'
_symmetry_Int_Tables_number 119
_symmetry_space_group_name_Hall 'I -4 -2'
_cell_length_a 6.736
_cell_length_b 6.736
_cell_length_c 6.680
_cell_angle_alpha 90.00
_cell_angle_beta 90.00
_cell_angle_gamma 90.00
loop_
_atom_site_label
_atom_site_fract_x
_atom_site_fract_y
_atom_site_fract_z
_atom_site_occupancy
U1 0.000 0.000 0.000 1
Co1 0.000 0.000 0.500 1
Co2 0.000 0.500 0.250 1
Pd1 0.000 0.500 0.750 1
O1 0.000 0.192 0.693 1
O2 0.000 0.295 0.076 1
# energy	-0.4944	Ry/atom
# M_tot	16.5	μB per cell
# D(E_F)	3.98	states/eV/f.u.
# calculated volume	303.1	Å³/cell



Entry 5:
# V2CoPdO | the Alexandria database | GGA+U | relaxed
data_V2CoPdO
_chemical_formula_sum 'V2 Co1 Pd1 O1'
_symmetry_space_group_name_H-M 'P 4/m m m'
_symmetry_Int_Tables_number 123
_symmetry_space_group_name_Hall '-P 4 2'
_cell_length_a 4.927
_cell_length_b 4.927
_cell_length_c 4.583
_cell_angle_alpha 90.00
_cell_angle_beta 90.00
_cell_angle_gamma 90.00
loop_
_atom_site_label
_atom_site_fract_x
_atom_site_fract_y
_atom_site_fract_z
_atom_site_occupancy
V1 0.000 0.500 0.000 1
Co1 0.000 0.000 0.500 1
Pd1 0.000 0.000 0.000 1
O1 0.500 0.500 0.500 1
# energy	-0.3253	Ry/atom
# M_tot	8.1	μB per cell
# D(E_F)	5.88	states/eV/f.u.
# calculated volume	111.3	Å³/cell



Entry 6:
# V2CoPdO8 | the Alexandria database | GGA+U | relaxed
data_V2CoPdO8
_chemical_formula_sum 'V2 Co1 Pd1 O8'
_symmetry_space_group_name_H-M 'P -3 m 1'
_symmetry_Int_Tables_number 164
_symmetry_space_group_name_Hall '-P 3 2"'
_cell_length_a 5.6544
_cell_length_b 5.6544
_cell_length_c 5.4472
_cell_angle_alpha 90.00
_cell_angle_beta 90.00
_cell_angle_gamma 120.00
loop_
_atom_site_label
_atom_site_fract_x
_atom_site_fract_y
_atom_site_fract_z
_atom_site_occupancy
V1 0.3333 0.6667 0.1541 1
Co1 0.0000 0.0000 0.0000 1
Pd1 0.0000 0.0000 0.5000 1
O1 0.1519 0.3037 0.2260 1
O2 0.3333 0.6667 0.8579 1
# energy	-0.4815	Ry/atom
# M_tot	1.0	μB per cell
# D(E_F)	4.93	states/eV/f.u.
# calculated volume	150.8	Å³/cell



Entry 7:
# ZnCoPdO4 | the Alexandria database | GGA+U | relaxed
data_ZnCoPdO4
_chemical_formula_sum 'Zn4 Co4 Pd4 O16'
_symmetry_space_group_name_H-M 'I m m a'
_symmetry_Int_Tables_number 74
_symmetry_space_group_name_Hall '-I 2b 2'
_cell_length_a 5.928
_cell_length_b 6.128
_cell_length_c 8.777
_cell_angle_alpha 90.00
_cell_angle_beta 90.00
_cell_angle_gamma 90.00
loop_
_atom_site_label
_atom_site_fract_x
_atom_site_fract_y
_atom_site_fract_z
_atom_site_occupancy
Zn1 0.000 0.250 0.146 1
Co1 0.250 0.250 0.750 1
Pd1 0.000 0.000 0.500 1
O1 0.000 0.021 0.732 1
O2 0.231 0.250 0.502 1
# energy	-0.3956	Ry/atom
# M_tot	11.9	μB per cell
# D(E_F)	0.80	states/eV/f.u.
# calculated volume	318.9	Å³/cell



Entry 8:
# ZnCoPd2O | the Alexandria database | GGA+U | relaxed
data_ZnCoPd2O
_chemical_formula_sum 'Zn1 Co1 Pd2 O1'
_symmetry_space_group_name_H-M 'P 4/m m m'
_symmetry_Int_Tables_number 123
_symmetry_space_group_name_Hall '-P 4 2'
_cell_length_a 4.852
_cell_length_b 4.852
_cell_length_c 3.358
_cell_angle_alpha 90.00
_cell_angle_beta 90.00
_cell_angle_gamma 90.00
loop_
_atom_site_label
_atom_site_fract_x
_atom_site_fract_y
_atom_site_fract_z
_atom_site_occupancy
Zn1 0.000 0.000 0.000 1
Co1 0.500 0.500 0.500 1
Pd1 0.000 0.500 0.500 1
O1 0.500 0.500 0.000 1
# energy	-0.3106	Ry/atom
# M_tot	2.2	μB per cell
# D(E_F)	2.32	states/eV/f.u.
# calculated volume	79.0	Å³/cell



> Which value of calculated volume does entry 8 give?

79.0 Å³/cell